The following is a PBE-GGA calculation of a relaxed structure of Th2RuPb, from the Alexandria database.

Cell: 3.417 3.417 8.924 Å, 90.00 90.00 90.00°
Fractional positions:
Ru 0.500 0.500 0.000
Pb 0.500 0.500 0.500
Th 0.000 0.000 0.208
Th 0.000 0.000 0.792

Values from the calculation:
E above lowest polymorph: 60 meV per atom
E_form: -358 meV/atom



The following is a PBE-GGA calculation of a relaxed structure of Tm3TlSe4O12, from the Alexandria database.

Cell: 7.551 7.551 7.551 Å, 107.55 107.55 107.55°
Site moments in Bohr magnetons follow the coordinates.
Fractional positions:
O 0.657 0.500 0.343  0.12
O 0.080 0.626 0.776  0.00
O 0.776 0.080 0.626  0.00
O 0.500 0.116 0.884  0.01
O 0.500 0.343 0.657  0.12
O 0.224 0.374 0.920  0.00
O 0.374 0.920 0.224  0.00
O 0.116 0.884 0.500  0.01
O 0.920 0.224 0.374  0.00
O 0.884 0.500 0.116  0.01
O 0.343 0.657 0.500  0.12
O 0.626 0.776 0.080  0.00
Tm 0.567 0.433 0.000  0.01
Tm 0.000 0.567 0.433  0.01
Tm 0.433 0.000 0.567  0.01
Se 0.500 0.500 0.500  0.33
Se 0.066 0.500 0.934  0.00
Se 0.934 0.066 0.500  0.00
Se 0.500 0.934 0.066  0.00
Tl 0.000 0.000 0.000  0.00

Values from the calculation:
E_form (uncorrected): -1539.5 meV/atom



The following is a PBE-GGA calculation of a relaxed structure of TbTmPd4, from the Alexandria database.

Cell: 3.938 3.941 8.385 Å, 90.00 90.00 90.00°
Fractional positions:
Pd 0.001 0.497 0.252
Pd 0.501 0.997 0.744
Pd 0.001 0.497 0.744
Pd 0.501 0.997 0.252
Tb 0.501 0.497 0.998
Tm 0.001 0.997 0.498

Values from the calculation:
E above lowest polymorph: 193 meV per atom
E_form: -622 meV/atom